[1]
! PBE Ba2ZnIn6Ga, relaxed; values from VASP
! - VASP energy: -53.1 eV per cell
! - Formation energy from the elements: -0.199 eV/atom
&SYSTEM
  ibrav = 0, nat = 20, ntyp = 4
/
ATOMIC_SPECIES
Ba 137.33 Ba.upf
Zn 65.41 Zn.upf
In 114.82 In.upf
Ga 69.72 Ga.upf
CELL_PARAMETERS angstrom
3.665 2.116 13.078
-3.665 2.116 13.078
0.000 -4.232 13.078
ATOMIC_POSITIONS crystal
Ba 0.107 0.107 0.107
Ba 0.280 0.280 0.280
Ba 0.720 0.720 0.720
Ba 0.893 0.893 0.893
Zn 0.000 0.000 0.000
Zn 0.500 0.500 0.500
In 0.082 0.662 0.662
In 0.224 0.224 0.649
In 0.224 0.649 0.224
In 0.338 0.338 0.918
In 0.338 0.918 0.338
In 0.351 0.776 0.776
In 0.649 0.224 0.224
In 0.662 0.082 0.662
In 0.662 0.662 0.082
In 0.776 0.351 0.776
In 0.776 0.776 0.351
In 0.918 0.338 0.338
Ga 0.427 0.427 0.427
Ga 0.573 0.573 0.573


[2]
! PBE Ba2ZrInGa, relaxed; values from VASP
! - VASP energy: -16.8 eV per cell
! - Formation energy from the elements: 0.273 eV/atom
&SYSTEM
  ibrav = 0, nat = 5, ntyp = 4
/
ATOMIC_SPECIES
Ba 137.33 Ba.upf
Zr 91.22 Zr.upf
In 114.82 In.upf
Ga 69.72 Ga.upf
CELL_PARAMETERS angstrom
6.327 0.000 0.000
0.000 6.327 0.000
0.000 0.000 5.182
ATOMIC_POSITIONS crystal
Ba 0.000 0.500 0.000
Ba 0.500 0.000 0.000
Zr 0.000 0.000 0.500
In 0.500 0.500 0.500
Ga 0.000 0.000 0.000


[3]
! PBE BaGa3Ir, relaxed; values from VASP
! - VASP energy: -87.0 eV per cell
! - Formation energy from the elements: -0.378 eV/atom
&SYSTEM
  ibrav = 0, nat = 20, ntyp = 3
/
ATOMIC_SPECIES
Ba 137.33 Ba.upf
Ga 69.72 Ga.upf
Ir 192.22 Ir.upf
CELL_PARAMETERS angstrom
6.853 0.000 0.000
0.000 7.902 0.000
-2.948 0.000 9.185
ATOMIC_POSITIONS crystal
Ba 0.241 0.183 0.033
Ba 0.241 0.317 0.533
Ba 0.759 0.683 0.467
Ba 0.759 0.817 0.967
Ga 0.041 0.532 0.226
Ga 0.041 0.968 0.726
Ga 0.298 0.745 0.120
Ga 0.298 0.755 0.620
Ga 0.436 0.013 0.348
Ga 0.436 0.487 0.848
Ga 0.564 0.513 0.152
Ga 0.564 0.987 0.652
Ga 0.702 0.245 0.380
Ga 0.702 0.255 0.880
Ga 0.959 0.032 0.274
Ga 0.959 0.468 0.774
Ir 0.185 0.707 0.850
Ir 0.185 0.793 0.350
Ir 0.815 0.207 0.650
Ir 0.815 0.293 0.150


[4]
! PBE Ba2Ga2Ir, relaxed; values from VASP
! - VASP energy: -82.2 eV per cell
! - Formation energy from the elements: -0.358 eV/atom
&SYSTEM
  ibrav = 0, nat = 20, ntyp = 3
/
ATOMIC_SPECIES
Ba 137.33 Ba.upf
Ga 69.72 Ga.upf
Ir 192.22 Ir.upf
CELL_PARAMETERS angstrom
10.634 0.000 0.000
0.000 7.597 0.000
-2.282 0.000 7.643
ATOMIC_POSITIONS crystal
Ba 0.058 0.232 0.031
Ba 0.058 0.268 0.531
Ba 0.329 0.581 0.950
Ba 0.329 0.919 0.450
Ba 0.671 0.081 0.550
Ba 0.671 0.419 0.050
Ba 0.942 0.732 0.469
Ba 0.942 0.768 0.969
Ga 0.192 0.542 0.307
Ga 0.192 0.958 0.807
Ga 0.436 0.176 0.161
Ga 0.436 0.324 0.661
Ga 0.564 0.676 0.339
Ga 0.564 0.824 0.839
Ga 0.808 0.042 0.193
Ga 0.808 0.458 0.693
Ir 0.409 0.080 0.855
Ir 0.409 0.420 0.355
Ir 0.591 0.580 0.645
Ir 0.591 0.920 0.145


[5]
! PBE BaGaIr, relaxed; values from VASP
! - VASP energy: -30.3 eV per cell
! - Formation energy from the elements: -0.454 eV/atom
&SYSTEM
  ibrav = 0, nat = 6, ntyp = 3
/
ATOMIC_SPECIES
Ba 137.33 Ba.upf
Ga 69.72 Ga.upf
Ir 192.22 Ir.upf
CELL_PARAMETERS angstrom
4.472 0.000 0.000
0.000 4.472 0.000
0.000 0.000 8.284
ATOMIC_POSITIONS crystal
Ba 0.250 0.250 0.200
Ba 0.750 0.750 0.800
Ga 0.250 0.250 0.647
Ga 0.750 0.750 0.353
Ir 0.250 0.750 0.500
Ir 0.750 0.250 0.500


[6]
! PBE BaGa3Ir, relaxed; values from VASP
! - VASP energy: -44.3 eV per cell
! - Formation energy from the elements: -0.453 eV/atom
&SYSTEM
  ibrav = 0, nat = 10, ntyp = 3
/
ATOMIC_SPECIES
Ba 137.33 Ba.upf
Ga 69.72 Ga.upf
Ir 192.22 Ir.upf
CELL_PARAMETERS angstrom
8.060 -2.495 0.000
8.060 2.495 0.000
-1.851 0.000 6.055
ATOMIC_POSITIONS crystal
Ba 0.134 0.134 0.345
Ba 0.866 0.866 0.655
Ga 0.332 0.176 0.929
Ga 0.470 0.530 0.500
Ga 0.479 0.521 0.000
Ga 0.768 0.073 0.198
Ga 0.824 0.668 0.071
Ga 0.927 0.232 0.802
Ir 0.222 0.543 0.159
Ir 0.457 0.778 0.841


[7]
! PBE BaGa4Ir, relaxed; values from VASP
! - VASP energy: -24.4 eV per cell
! - Formation energy from the elements: -0.254 eV/atom
&SYSTEM
  ibrav = 0, nat = 6, ntyp = 3
/
ATOMIC_SPECIES
Ba 137.33 Ba.upf
Ga 69.72 Ga.upf
Ir 192.22 Ir.upf
CELL_PARAMETERS angstrom
4.845 0.000 0.000
0.000 4.845 0.000
-0.010 0.000 7.187
ATOMIC_POSITIONS crystal
Ba 0.000 0.000 0.000
Ga 0.000 0.500 0.500
Ga 0.500 0.000 0.500
Ga 0.500 0.500 0.160
Ga 0.500 0.500 0.840
Ir 0.500 0.500 0.500


[8]
! PBE Ba2Ga2Ir, relaxed; values from VASP
! - VASP energy: -20.7 eV per cell
! - Formation energy from the elements: -0.388 eV/atom
&SYSTEM
  ibrav = 0, nat = 5, ntyp = 3
/
ATOMIC_SPECIES
Ba 137.33 Ba.upf
Ga 69.72 Ga.upf
Ir 192.22 Ir.upf
CELL_PARAMETERS angstrom
2.169 1.252 10.092
-2.169 1.252 10.092
0.000 -2.505 10.092
ATOMIC_POSITIONS crystal
Ba 0.073 0.073 0.073
Ba 0.927 0.927 0.927
Ga 0.188 0.188 0.188
Ga 0.812 0.812 0.812
Ir 0.500 0.500 0.500


[9]
! PBE BaGa2Ir, relaxed; values from VASP
! - VASP energy: -18.8 eV per cell
! - Formation energy from the elements: -0.496 eV/atom
&SYSTEM
  ibrav = 0, nat = 4, ntyp = 3
/
ATOMIC_SPECIES
Ba 137.33 Ba.upf
Ga 69.72 Ga.upf
Ir 192.22 Ir.upf
CELL_PARAMETERS angstrom
2.168 1.252 5.958
-2.168 1.252 5.958
0.000 -2.504 5.958
ATOMIC_POSITIONS crystal
Ba 0.000 0.000 0.000
Ga 0.200 0.200 0.200
Ga 0.800 0.800 0.800
Ir 0.500 0.500 0.500


[10]
! PBE BaGa3Ir, relaxed; values from VASP
! - VASP energy: -86.8 eV per cell
! - Formation energy from the elements: -0.369 eV/atom
&SYSTEM
  ibrav = 0, nat = 20, ntyp = 3
/
ATOMIC_SPECIES
Ba 137.33 Ba.upf
Ga 69.72 Ga.upf
Ir 192.22 Ir.upf
CELL_PARAMETERS angstrom
6.133 0.000 0.000
0.000 11.618 0.000
0.000 0.000 6.242
ATOMIC_POSITIONS crystal
Ba 0.000 0.000 0.000
Ba 0.000 0.500 0.000
Ba 0.500 0.000 0.500
Ba 0.500 0.500 0.500
Ga 0.017 0.126 0.484
Ga 0.017 0.374 0.484
Ga 0.191 0.250 0.807
Ga 0.309 0.750 0.307
Ga 0.483 0.626 0.984
Ga 0.483 0.874 0.984
Ga 0.517 0.126 0.016
Ga 0.517 0.374 0.016
Ga 0.691 0.250 0.693
Ga 0.809 0.750 0.193
Ga 0.983 0.626 0.516
Ga 0.983 0.874 0.516
Ir 0.234 0.250 0.216
Ir 0.266 0.750 0.716
Ir 0.734 0.250 0.284
Ir 0.766 0.750 0.784


[11]
! PBE BaGa3Ir, relaxed; values from VASP
! - VASP energy: -44.2 eV per cell
! - Formation energy from the elements: -0.451 eV/atom
&SYSTEM
  ibrav = 0, nat = 10, ntyp = 3
/
ATOMIC_SPECIES
Ba 137.33 Ba.upf
Ga 69.72 Ga.upf
Ir 192.22 Ir.upf
CELL_PARAMETERS angstrom
4.724 0.000 0.000
0.096 6.498 0.000
0.051 3.240 7.916
ATOMIC_POSITIONS crystal
Ba 0.000 0.133 0.234
Ba 0.000 0.867 0.766
Ga 0.000 0.415 0.671
Ga 0.000 0.585 0.329
Ga 0.481 0.283 0.499
Ga 0.500 0.000 0.000
Ga 0.500 0.500 0.000
Ga 0.519 0.717 0.501
Ir 0.500 0.359 0.781
Ir 0.500 0.641 0.219


[12]
! PBE BaGa3Ir, relaxed; values from VASP
! - VASP energy: -42.2 eV per cell
! - Formation energy from the elements: -0.242 eV/atom
&SYSTEM
  ibrav = 0, nat = 10, ntyp = 3
/
ATOMIC_SPECIES
Ba 137.33 Ba.upf
Ga 69.72 Ga.upf
Ir 192.22 Ir.upf
CELL_PARAMETERS angstrom
2.710 -9.613 0.000
2.710 9.613 0.000
0.000 0.000 5.014
ATOMIC_POSITIONS crystal
Ba 0.107 0.893 0.750
Ba 0.893 0.107 0.250
Ga 0.032 0.462 0.750
Ga 0.462 0.032 0.250
Ga 0.500 0.500 0.000
Ga 0.500 0.500 0.500
Ga 0.538 0.968 0.750
Ga 0.968 0.538 0.250
Ir 0.393 0.607 0.750
Ir 0.607 0.393 0.250


[13]
! PBE BaGa3Ir, relaxed; values from VASP
! - VASP energy: -44.0 eV per cell
! - Formation energy from the elements: -0.424 eV/atom
&SYSTEM
  ibrav = 0, nat = 10, ntyp = 3
/
ATOMIC_SPECIES
Ba 137.33 Ba.upf
Ga 69.72 Ga.upf
Ir 192.22 Ir.upf
CELL_PARAMETERS angstrom
4.305 0.000 0.000
0.000 7.142 0.000
-0.062 0.000 8.129
ATOMIC_POSITIONS crystal
Ba 0.244 0.250 0.181
Ba 0.756 0.750 0.819
Ga 0.252 0.058 0.606
Ga 0.252 0.442 0.606
Ga 0.262 0.750 0.152
Ga 0.738 0.250 0.848
Ga 0.748 0.558 0.394
Ga 0.748 0.942 0.394
Ir 0.248 0.750 0.456
Ir 0.752 0.250 0.544


[14]
! PBE BaGa3Ir, relaxed; values from VASP
! - VASP energy: -44.0 eV per cell
! - Formation energy from the elements: -0.432 eV/atom
&SYSTEM
  ibrav = 0, nat = 10, ntyp = 3
/
ATOMIC_SPECIES
Ba 137.33 Ba.upf
Ga 69.72 Ga.upf
Ir 192.22 Ir.upf
CELL_PARAMETERS angstrom
4.916 0.000 0.000
0.000 6.746 0.000
-1.071 0.000 7.294
ATOMIC_POSITIONS crystal
Ba 0.175 0.250 0.149
Ba 0.825 0.750 0.851
Ga 0.266 0.549 0.558
Ga 0.266 0.951 0.558
Ga 0.431 0.750 0.233
Ga 0.569 0.250 0.767
Ga 0.734 0.049 0.442
Ga 0.734 0.451 0.442
Ir 0.052 0.250 0.692
Ir 0.948 0.750 0.308


[15]
! PBE Ba2GaIr, relaxed; values from VASP
! - VASP energy: -33.7 eV per cell
! - Formation energy from the elements: -0.274 eV/atom
&SYSTEM
  ibrav = 0, nat = 8, ntyp = 3
/
ATOMIC_SPECIES
Ba 137.33 Ba.upf
Ga 69.72 Ga.upf
Ir 192.22 Ir.upf
CELL_PARAMETERS angstrom
-5.892 5.892 2.425
5.892 -5.892 2.425
5.892 5.892 -2.425
ATOMIC_POSITIONS crystal
Ba 0.375 0.191 0.316
Ba 0.809 0.125 0.184
Ba 0.875 0.059 0.684
Ba 0.941 0.625 0.816
Ga 0.250 0.750 0.500
Ga 0.500 0.500 0.000
Ir 0.000 0.000 0.000
Ir 0.750 0.250 0.500


[16]
! PBE Ba3Ga3Ir2, relaxed; values from VASP
! - VASP energy: -143.0 eV per cell
! - Formation energy from the elements: -0.398 eV/atom
&SYSTEM
  ibrav = 0, nat = 32, ntyp = 3
/
ATOMIC_SPECIES
Ba 137.33 Ba.upf
Ga 69.72 Ga.upf
Ir 192.22 Ir.upf
CELL_PARAMETERS angstrom
8.725 0.000 0.000
0.000 15.401 0.000
0.000 0.000 6.355
ATOMIC_POSITIONS crystal
Ba 0.049 0.108 0.108
Ba 0.049 0.392 0.108
Ba 0.223 0.250 0.565
Ba 0.277 0.750 0.065
Ba 0.451 0.608 0.608
Ba 0.451 0.892 0.608
Ba 0.549 0.108 0.392
Ba 0.549 0.392 0.392
Ba 0.723 0.250 0.935
Ba 0.777 0.750 0.435
Ba 0.951 0.608 0.892
Ba 0.951 0.892 0.892
Ga 0.134 0.750 0.522
Ga 0.165 0.040 0.623
Ga 0.165 0.460 0.623
Ga 0.335 0.540 0.123
Ga 0.335 0.960 0.123
Ga 0.366 0.250 0.022
Ga 0.634 0.750 0.978
Ga 0.665 0.040 0.877
Ga 0.665 0.460 0.877
Ga 0.835 0.540 0.377
Ga 0.835 0.960 0.377
Ga 0.866 0.250 0.478
Ir 0.118 0.591 0.379
Ir 0.118 0.909 0.379
Ir 0.382 0.091 0.879
Ir 0.382 0.409 0.879
Ir 0.618 0.591 0.121
Ir 0.618 0.909 0.121
Ir 0.882 0.091 0.621
Ir 0.882 0.409 0.621


[17]
! PBE BaGa12Ir4, relaxed; values from VASP
! - VASP energy: -79.1 eV per cell
! - Formation energy from the elements: -0.316 eV/atom
&SYSTEM
  ibrav = 0, nat = 17, ntyp = 3
/
ATOMIC_SPECIES
Ba 137.33 Ba.upf
Ga 69.72 Ga.upf
Ir 192.22 Ir.upf
CELL_PARAMETERS angstrom
-4.826 4.826 4.826
4.826 -4.826 4.826
4.826 4.826 -4.826
ATOMIC_POSITIONS crystal
Ba 0.000 0.000 0.000
Ga 0.000 0.259 0.741
Ga 0.000 0.741 0.259
Ga 0.259 0.000 0.741
Ga 0.259 0.259 0.519
Ga 0.259 0.519 0.259
Ga 0.259 0.741 0.000
Ga 0.481 0.741 0.741
Ga 0.519 0.259 0.259
Ga 0.741 0.000 0.259
Ga 0.741 0.259 0.000
Ga 0.741 0.481 0.741
Ga 0.741 0.741 0.481
Ir 0.000 0.000 0.500
Ir 0.000 0.500 0.000
Ir 0.500 0.000 0.000
Ir 0.500 0.500 0.500


[18]
! PBE BaGa3Ir, relaxed; values from VASP
! - VASP energy: -85.7 eV per cell
! - Formation energy from the elements: -0.310 eV/atom
&SYSTEM
  ibrav = 0, nat = 20, ntyp = 3
/
ATOMIC_SPECIES
Ba 137.33 Ba.upf
Ga 69.72 Ga.upf
Ir 192.22 Ir.upf
CELL_PARAMETERS angstrom
7.815 -4.442 0.000
7.815 4.442 0.000
-1.947 0.000 6.909
ATOMIC_POSITIONS crystal
Ba 0.098 0.902 0.750
Ba 0.394 0.606 0.250
Ba 0.606 0.394 0.750
Ba 0.902 0.098 0.250
Ga 0.009 0.324 0.655
Ga 0.009 0.347 0.055
Ga 0.308 0.316 0.382
Ga 0.316 0.308 0.882
Ga 0.324 0.009 0.155
Ga 0.347 0.009 0.555
Ga 0.653 0.991 0.445
Ga 0.676 0.991 0.845
Ga 0.684 0.692 0.118
Ga 0.692 0.684 0.618
Ga 0.991 0.653 0.945
Ga 0.991 0.676 0.345
Ir 0.146 0.508 0.641
Ir 0.492 0.854 0.859
Ir 0.508 0.146 0.141
Ir 0.854 0.492 0.359


[19]
! PBE BaGa12Ir6, relaxed; values from VASP
! - VASP energy: -100.5 eV per cell
! - Formation energy from the elements: -0.476 eV/atom
&SYSTEM
  ibrav = 0, nat = 19, ntyp = 3
/
ATOMIC_SPECIES
Ba 137.33 Ba.upf
Ga 69.72 Ga.upf
Ir 192.22 Ir.upf
CELL_PARAMETERS angstrom
5.796 3.346 2.905
-5.796 3.346 2.905
0.000 -6.693 2.905
ATOMIC_POSITIONS crystal
Ba 0.000 0.000 0.000
Ga 0.118 0.500 0.882
Ga 0.118 0.882 0.500
Ga 0.127 0.414 0.414
Ga 0.414 0.127 0.414
Ga 0.414 0.414 0.127
Ga 0.500 0.118 0.882
Ga 0.500 0.882 0.118
Ga 0.586 0.586 0.873
Ga 0.586 0.873 0.586
Ga 0.873 0.586 0.586
Ga 0.882 0.118 0.500
Ga 0.882 0.500 0.118
Ir 0.271 0.271 0.683
Ir 0.271 0.683 0.271
Ir 0.317 0.729 0.729
Ir 0.683 0.271 0.271
Ir 0.729 0.317 0.729
Ir 0.729 0.729 0.317